No. 1
Here is MnSb2Au after structural relaxation from Alexandria. Energies are from GGA-PBEsol.

```
MnSb2Au
1.0
3.2040 0.0000 0.0000
0.0000 3.2040 0.0000
0.0000 0.0000 8.0834
Mn Sb Au
1 2 1
direct
0.0000 0.0000 0.0000
0.0000 0.0000 0.5698
0.5000 0.5000 0.2193
0.5000 0.5000 0.8139
```

## Properties
**Symmetry**: P4mm
**Crystal system**: tetragonal
**Energy relative to the elements, uncorrected**: 144 meV per atom

No. 2
Here is Al2O3 after structural relaxation from Alexandria. Energies are from GGA-PBEsol.

```
Al2O3
1.0
4.7949 0.0000 0.0000
0.0000 5.0514 0.0000
0.0000 0.0000 13.9883
Al O
16 24
direct
0.0003 0.1844 0.0729
0.0003 0.3156 0.5729
0.9997 0.6844 0.4271
0.9997 0.8156 0.9271
0.0024 0.2468 0.3213
0.0024 0.2532 0.8213
0.4976 0.7468 0.3213
0.4976 0.7532 0.8213
0.5003 0.1844 0.4271
0.5003 0.3156 0.9271
0.4997 0.6844 0.0729
0.4997 0.8156 0.5729
0.5024 0.2468 0.1787
0.5024 0.2532 0.6787
0.9976 0.7468 0.1787
0.9976 0.7532 0.6787
0.1428 0.1161 0.2033
0.1428 0.3839 0.7033
0.1528 0.6645 0.5500
0.1528 0.8355 0.0500
0.1978 0.5375 0.8766
0.1978 0.9625 0.3766
0.3022 0.0375 0.8766
0.3022 0.4625 0.3766
0.3472 0.1645 0.5500
0.3472 0.3355 0.0500
0.3572 0.6161 0.2033
0.3572 0.8839 0.7033
0.6428 0.1161 0.2967
0.6428 0.3839 0.7967
0.6528 0.6645 0.9500
0.6528 0.8355 0.4500
0.6978 0.5375 0.6234
0.6978 0.9625 0.1234
0.8022 0.0375 0.6234
0.8022 0.4625 0.1234
0.8472 0.1645 0.9500
0.8472 0.3355 0.4500
0.8572 0.6161 0.2967
0.8572 0.8839 0.7967
```

## Properties
**Symmetry**: Pbca
**Crystal system**: orthorhombic
**Energy relative to the elements, uncorrected**: -3036 meV per atom

No. 3
Here is CsCdTeI2 after structural relaxation from Alexandria. Energies are from GGA-PBEsol.

```
CsCdTeI2
1.0
5.9929 0.0000 0.0000
0.0000 5.9929 0.0000
0.0000 0.0000 5.5904
Cs Cd Te I
1 1 1 2
direct
0.0000 0.0000 0.0000
0.5000 0.5000 0.5000
0.5000 0.5000 0.0000
0.0000 0.5000 0.5000
0.5000 0.0000 0.5000
```

## Properties
**Symmetry**: P4/mmm
**Crystal system**: tetragonal
**Energy relative to the elements, uncorrected**: -593 meV per atom

No. 4
Here is V2Bi4O11 after structural relaxation from Alexandria. Energies are from GGA-PBEsol.

```
V2Bi4O11
1.0
6.9435 0.0000 0.0000
0.0000 9.4754 0.0000
-1.5818 0.0000 8.2766
V Bi O
4 8 22
direct
0.0548 0.0000 0.4662
0.2604 0.0166 0.0845
0.7396 0.5166 0.9155
0.9452 0.5000 0.5338
0.0438 0.7921 0.8172
0.2070 0.6631 0.2473
0.3004 0.4208 0.9519
0.4404 0.4000 0.4920
0.5596 0.9000 0.5080
0.6996 0.9208 0.0481
0.7930 0.1631 0.7527
0.9562 0.2921 0.1828
0.0299 0.0509 0.6562
0.0543 0.9099 0.0693
0.1210 0.1400 0.3602
0.1656 0.4347 0.6304
0.1795 0.1893 0.0519
0.2279 0.8667 0.4906
0.2494 0.6412 0.9719
0.2519 0.4332 0.2072
0.3657 0.9660 0.9281
0.4355 0.9645 0.2462
0.4536 0.6188 0.4343
0.5464 0.1188 0.5657
0.5645 0.4645 0.7538
0.6343 0.4660 0.0719
0.7481 0.9332 0.7928
0.7506 0.1412 0.0281
0.7721 0.3667 0.5094
0.8205 0.6893 0.9481
0.8344 0.9347 0.3696
0.8790 0.6400 0.6398
0.9457 0.4099 0.9307
0.9701 0.5509 0.3438
```

## Properties
**Symmetry**: P2_1
**Crystal system**: monoclinic
**Energy relative to the elements, uncorrected**: -1712 meV per atom

No. 5
Here is ScHBr2 after structural relaxation from Alexandria. Energies are from GGA-PBEsol.

```
ScHBr2
1.0
0.0000 3.2733 3.2733
3.2733 0.0000 3.2733
3.2733 3.2733 0.0000
Sc H Br
1 1 2
direct
0.0000 0.0000 0.0000
0.5000 0.5000 0.5000
0.2500 0.2500 0.2500
0.7500 0.7500 0.7500
```

## Properties
**Symmetry**: Fm-3m
**VASP energy**: -16.0 eV for the cell shown
**Crystal system**: cubic

No. 6
Here is CrRe2Si after structural relaxation from Alexandria. Energies are from GGA-PBEsol.

```
CrRe2Si
1.0
2.7735 0.0000 0.0000
0.0000 3.7776 0.0000
0.0000 0.0000 5.0702
Cr Re Si
1 2 1
direct
0.0000 0.0000 0.0000
0.5000 0.5000 0.2519
0.5000 0.5000 0.7481
0.0000 0.0000 0.5000
```

## Properties
**Symmetry**: Pmmm
**Crystal system**: orthorhombic
**Energy relative to the elements, uncorrected**: 36 meV per atom